## A
Material: BaLi2ZnNi
Method: DFT, PBE
State: relaxed

abc: 4.930 4.930 4.803
angles: 90.00 90.00 90.00
Space group P4/mmm (No. 123)
Symmetry-distinct sites (fractional):
Ba: 0.000 0.000 0.000 [1 per cell]
Li: 0.000 0.500 0.500 [2 per cell]
Zn: 0.500 0.500 0.000 [1 per cell]
Ni: 0.500 0.500 0.500 [1 per cell]

Fermi-level density of states	3.04	states/eV/cell
total magnetization	0.000	μB per atom

***

## B
Material: BaLi2ZnNi
Method: DFT, PBE
State: relaxed

abc: 4.904 4.904 4.820
angles: 90.00 90.00 90.00
Space group P4/mmm (No. 123)
Symmetry-distinct sites (fractional):
Ba: 0.000 0.000 0.000 [1 per cell]
Li: 0.000 0.500 0.500 [2 per cell]
Zn: 0.500 0.500 0.500 [1 per cell]
Ni: 0.500 0.500 0.000 [1 per cell]

Fermi-level density of states	3.27	states/eV/cell
total magnetization	0.000	μB per atom

***

What are the relative energies? In meV/atom: A 0; B 73.